No. 1
# GGA-PBE CsReOs2, optimized geometry
# DOS(E_F): 1.740 states/eV/cell
# space-group type: No. 122
# calculated total energy: -7.1061 eV/atom
# crystal system: tetragonal
# size of the total moment: 0.00 μB/cell
data_CsReOs2
_chemical_formula_sum 'Cs2 Re2 Os4'
_cell_length_a 7.4394
_cell_length_b 7.4394
_cell_length_c 6.4352
_cell_angle_alpha 54.69
_cell_angle_beta 54.69
_cell_angle_gamma 90.00
_symmetry_space_group_name_H-M 'P 1'
_symmetry_Int_Tables_number 1
loop_
_symmetry_equiv_pos_as_xyz
'x,y,z'
loop_
_atom_site_label
_atom_site_type_symbol
_atom_site_fract_x
_atom_site_fract_y
_atom_site_fract_z
Cs1 Cs 0.5000 0.5000 0.0000
Cs2 Cs 0.2500 0.7500 0.5000
Re1 Re 0.0000 0.0000 0.0000
Re2 Re 0.7500 0.2500 0.5000
Os1 Os 0.7143 0.1250 0.2500
Os2 Os 0.0357 0.6250 0.2500
Os3 Os 0.3750 0.2857 0.7500
Os4 Os 0.8750 0.9643 0.7500

No. 2
# GGA-PBE SrZnTc, optimized geometry
# DOS(E_F): 4.380 states/eV/cell
# space-group type: No. 11
# calculated total energy: -4.3258 eV/atom
# crystal system: monoclinic
# size of the total moment: 0.00 μB/cell
data_SrZnTc
_chemical_formula_sum 'Sr2 Zn2 Tc2'
_cell_length_a 5.3010
_cell_length_b 4.4127
_cell_length_c 5.9286
_cell_angle_alpha 90.00
_cell_angle_beta 98.42
_cell_angle_gamma 90.00
_symmetry_space_group_name_H-M 'P 1'
_symmetry_Int_Tables_number 1
loop_
_symmetry_equiv_pos_as_xyz
'x,y,z'
loop_
_atom_site_label
_atom_site_type_symbol
_atom_site_fract_x
_atom_site_fract_y
_atom_site_fract_z
Sr1 Sr 0.7553 0.2500 0.4163
Sr2 Sr 0.2447 0.7500 0.5837
Zn1 Zn 0.5848 0.2500 0.9046
Zn2 Zn 0.4152 0.7500 0.0954
Tc1 Tc 0.1046 0.2500 0.9978
Tc2 Tc 0.8954 0.7500 0.0022

Number 1 is which compound?
CsReOs2

The highest DOS(E_F) belongs to which entry?
SrZnTc

Among the records above, which one has the highest calculated total energy?
SrZnTc

Please write out number 2 again, unchanged.
# GGA-PBE SrZnTc, optimized geometry
# DOS(E_F): 4.380 states/eV/cell
# space-group type: No. 11
# calculated total energy: -4.3258 eV/atom
# crystal system: monoclinic
# size of the total moment: 0.00 μB/cell
data_SrZnTc
_chemical_formula_sum 'Sr2 Zn2 Tc2'
_cell_length_a 5.3010
_cell_length_b 4.4127
_cell_length_c 5.9286
_cell_angle_alpha 90.00
_cell_angle_beta 98.42
_cell_angle_gamma 90.00
_symmetry_space_group_name_H-M 'P 1'
_symmetry_Int_Tables_number 1
loop_
_symmetry_equiv_pos_as_xyz
'x,y,z'
loop_
_atom_site_label
_atom_site_type_symbol
_atom_site_fract_x
_atom_site_fract_y
_atom_site_fract_z
Sr1 Sr 0.7553 0.2500 0.4163
Sr2 Sr 0.2447 0.7500 0.5837
Zn1 Zn 0.5848 0.2500 0.9046
Zn2 Zn 0.4152 0.7500 0.0954
Tc1 Tc 0.1046 0.2500 0.9978
Tc2 Tc 0.8954 0.7500 0.0022